(1)
A plane-wave DFT calculation with PBE was carried out for a relaxed structure of MnTlS2.

Values from the calculation:
Total magnetic moment in μB/atom: 0.3474
D(E_F) in states/eV/f.u.: 1.10
Energy relative to the elements, uncorrected in eV per formula unit: -1.7
SG: No. 62
Uncorrected energy in eV per atom: -5.382

a b c (Å): 6.4221 3.2186 16.9039
angles (deg): 90.00 90.00 90.00
Closest atoms and distances in Å follow each position.
Sites, in units of the cell vectors:
1 Mn 0.0573 0.2500 0.0595  5 S 2.18-2.28
2 Mn 0.4427 0.7500 0.5595  5 S 2.18-2.28
3 Mn 0.5573 0.2500 0.4405  5 S 2.18-2.28
4 Mn 0.9427 0.7500 0.9405  5 S 2.18-2.28
5 Tl 0.0119 0.7500 0.3389  6 S 3.12-3.48, 2 Tl 3.22
6 Tl 0.4881 0.2500 0.8389  6 S 3.12-3.48, 2 Tl 3.22
7 Tl 0.5119 0.7500 0.1611  6 S 3.12-3.48, 2 Tl 3.22
8 Tl 0.9881 0.2500 0.6611  6 S 3.12-3.48, 2 Tl 3.22
9 S 0.0244 0.7500 0.1543  2 Mn 2.28
10 S 0.2475 0.7500 0.9970  3 Mn 2.18-2.28
11 S 0.2525 0.2500 0.4970  3 Mn 2.18-2.28
12 S 0.4756 0.2500 0.6543  2 Mn 2.28
13 S 0.5244 0.7500 0.3457  2 Mn 2.28
14 S 0.7475 0.7500 0.5030  3 Mn 2.18-2.28
15 S 0.7525 0.2500 0.0030  3 Mn 2.18-2.28
16 S 0.9756 0.2500 0.8457  2 Mn 2.28

=====

(2)
A plane-wave DFT calculation with PBE was carried out for a relaxed structure of Mn5TlS8.

Values from the calculation:
Total magnetic moment in μB/atom: 0.9764
D(E_F) in states/eV/f.u.: 8.78
Energy relative to the elements, uncorrected in eV per formula unit: -7.7
SG: No. 12
Uncorrected energy in eV per atom: -6.350

a b c (Å): 8.9071 8.9071 8.4711
angles (deg): 104.45 104.45 21.83
Closest atoms and distances in Å follow each position.
Sites, in units of the cell vectors:
1 Mn 0.0000 0.0000 0.0000  6 S 2.34
2 Mn 0.2947 0.2947 0.6649  6 S 2.33-2.43
3 Mn 0.3406 0.3406 0.0077  6 S 2.32-2.43
4 Mn 0.6594 0.6594 0.9923  6 S 2.32-2.43
5 Mn 0.7053 0.7053 0.3351  6 S 2.33-2.43
6 Tl 0.5000 0.5000 0.5000  10 S 3.30-3.42, 2 Tl 3.37
7 S 0.0874 0.0874 0.8323  3 Mn 2.32-2.34
8 S 0.1683 0.1683 0.4909  3 Mn 2.33
9 S 0.2413 0.2413 0.1603  5 Mn 2.41-2.43
10 S 0.4268 0.4268 0.8374  4 Mn 2.34-2.40
11 S 0.5732 0.5732 0.1626  4 Mn 2.34-2.40
12 S 0.7587 0.7587 0.8397  5 Mn 2.41-2.43
13 S 0.8317 0.8317 0.5091  3 Mn 2.33
14 S 0.9126 0.9126 0.1677  3 Mn 2.32-2.34

=====

(3)
A plane-wave DFT calculation with PBE was carried out for a relaxed structure of MnTl2S4.

Values from the calculation:
Total magnetic moment in μB/atom: 0.1719
D(E_F) in states/eV/f.u.: 1.28
Energy relative to the elements, uncorrected in eV per formula unit: -1.8
SG: No. 8
Uncorrected energy in eV per atom: -4.600

a b c (Å): 6.8357 6.8357 6.9520
angles (deg): 119.37 119.37 90.03
Closest atoms and distances in Å follow each position.
Sites, in units of the cell vectors:
1 Mn 0.0000 0.0000 0.0000  4 S 2.09-2.10
2 Tl 0.2501 0.7493 0.5001  4 S 2.86
3 Tl 0.7493 0.2501 0.5001  4 S 2.86
4 S 0.0722 0.0722 0.7770  1 Mn 2.09
5 S 0.2946 0.9274 0.2221  1 Mn 2.10
6 S 0.7055 0.7055 0.7784  1 Mn 2.10
7 S 0.9274 0.2946 0.2221  1 Mn 2.10

=====

(4)
A plane-wave DFT calculation with PBE was carried out for a relaxed structure of Mn2TlS3.

Values from the calculation:
Total magnetic moment in μB/atom: 1.5045
D(E_F) in states/eV/f.u.: 1.66
Energy relative to the elements, uncorrected in eV per formula unit: -2.7
SG: No. 63
Uncorrected energy in eV per atom: -5.958

a b c (Å): 7.0853 7.0853 10.7689
angles (deg): 90.00 90.00 149.92
Closest atoms and distances in Å follow each position.
Sites, in units of the cell vectors:
1 Mn 0.0000 0.0000 0.0000  4 S 2.45
2 Mn 0.0000 0.0000 0.5000  4 S 2.45
3 Mn 0.4428 0.5572 0.7500  4 S 2.34-2.39
4 Mn 0.5572 0.4428 0.2500  4 S 2.34-2.39
5 Tl 0.2702 0.7298 0.2500  2 S 3.03
6 Tl 0.7298 0.2702 0.7500  2 S 3.03
7 S 0.0541 0.9459 0.7500  2 Mn 2.39
8 S 0.3869 0.6131 0.5451  3 Mn 2.34-2.45
9 S 0.3869 0.6131 0.9549  3 Mn 2.34-2.45
10 S 0.6131 0.3869 0.0451  3 Mn 2.34-2.45
11 S 0.6131 0.3869 0.4549  3 Mn 2.34-2.45
12 S 0.9459 0.0541 0.2500  2 Mn 2.39

=====

(5)
A plane-wave DFT calculation with PBE was carried out for a relaxed structure of MnTlS2.

Values from the calculation:
Total magnetic moment in μB/atom: 1.0000
D(E_F) in states/eV/f.u.: 1.30
Energy relative to the elements, uncorrected in eV per formula unit: -1.7
SG: No. 122
Uncorrected energy in eV per atom: -5.366

a b c (Å): 6.3716 6.3716 6.3716
angles (deg): 112.97 112.97 102.67
Closest atoms and distances in Å follow each position.
Sites, in units of the cell vectors:
1 Mn 0.0000 0.0000 0.0000  4 S 2.29
2 Mn 0.7500 0.2500 0.5000  4 S 2.29
3 Tl 0.2500 0.7500 0.5000  4 S 3.16
4 Tl 0.5000 0.5000 0.0000  4 S 3.16
5 S 0.0293 0.6250 0.9043  2 Mn 2.29
6 S 0.3750 0.2793 0.4043  2 Mn 2.29
7 S 0.7207 0.1250 0.0957  2 Mn 2.29
8 S 0.8750 0.9707 0.5957  2 Mn 2.29

=====

(6)
A plane-wave DFT calculation with PBE was carried out for a relaxed structure of MnTlS2.

Values from the calculation:
Total magnetic moment in μB/atom: 1.0000
D(E_F) in states/eV/f.u.: 0.15
Energy relative to the elements, uncorrected in eV per formula unit: -1.6
SG: No. 140
Uncorrected energy in eV per atom: -5.345

a b c (Å): 6.3694 6.3694 6.3694
angles (deg): 105.17 105.17 118.46
Closest atoms and distances in Å follow each position.
Sites, in units of the cell vectors:
1 Mn 0.2500 0.7500 0.5000  4 S 2.30
2 Mn 0.7500 0.2500 0.5000  4 S 2.30
3 Tl 0.2500 0.2500 0.0000  2 Tl 3.26, 8 S 3.37
4 Tl 0.7500 0.7500 0.0000  2 Tl 3.26, 8 S 3.37
5 S 0.1489 0.6489 0.7979  2 Mn 2.30
6 S 0.3511 0.1489 0.5000  2 Mn 2.30
7 S 0.6489 0.8511 0.5000  2 Mn 2.30
8 S 0.8511 0.3511 0.2021  2 Mn 2.30

=====

(7)
A plane-wave DFT calculation with PBE was carried out for a relaxed structure of MnTlS2.

Values from the calculation:
Total magnetic moment in μB/atom: 1.0000
D(E_F) in states/eV/f.u.: 2.17
Energy relative to the elements, uncorrected in eV per formula unit: -1.4
SG: No. 156
Uncorrected energy in eV per atom: -5.296

a b c (Å): 3.9324 3.9324 7.5185
angles (deg): 90.00 90.00 120.00
Closest atoms and distances in Å follow each position.
Sites, in units of the cell vectors:
1 Mn 0.0000 0.0000 0.0000  4 S 2.19-2.38
2 Tl 0.6667 0.3333 0.5163  3 S 2.83
3 S 0.0000 0.0000 0.2919  1 Mn 2.19
4 S 0.3333 0.6667 0.9051  3 Mn 2.38

=====

(8)
A plane-wave DFT calculation with PBE was carried out for a relaxed structure of MnTlS2.

Values from the calculation:
Total magnetic moment in μB/atom: 0.0000
D(E_F) in states/eV/f.u.: 1.32
Energy relative to the elements, uncorrected in eV per formula unit: -1.4
SG: No. 15
Uncorrected energy in eV per atom: -5.307

a b c (Å): 7.0832 7.0832 14.8188
angles (deg): 96.20 96.20 89.72
Closest atoms and distances in Å follow each position.
Sites, in units of the cell vectors:
1 Mn 0.1148 0.6907 0.8238  4 S 2.13-2.20
2 Mn 0.3093 0.8852 0.6762  4 S 2.13-2.20
3 Mn 0.3097 0.4300 0.6739  4 S 2.12-2.20
4 Mn 0.4300 0.3097 0.1739  4 S 2.12-2.20
5 Mn 0.5700 0.6903 0.8261  4 S 2.12-2.20
6 Mn 0.6903 0.5700 0.3261  4 S 2.12-2.20
7 Mn 0.6907 0.1148 0.3238  4 S 2.13-2.20
8 Mn 0.8852 0.3093 0.1762  4 S 2.13-2.20
9 Tl 0.1307 0.7306 0.0894  5 S 3.12-3.25
10 Tl 0.1863 0.3530 0.3961  6 S 3.18-3.45, 1 Tl 3.50
11 Tl 0.2694 0.8693 0.4106  5 S 3.12-3.25
12 Tl 0.3530 0.1863 0.8961  6 S 3.18-3.45, 1 Tl 3.50
13 Tl 0.6470 0.8137 0.1039  6 S 3.18-3.45, 1 Tl 3.50
14 Tl 0.7306 0.1307 0.5894  5 S 3.12-3.25
15 Tl 0.8137 0.6470 0.6039  6 S 3.18-3.45, 1 Tl 3.50
16 Tl 0.8693 0.2694 0.9106  5 S 3.12-3.25
17 S 0.0674 0.4211 0.7460  2 Mn 2.12-2.13
18 S 0.0688 0.9312 0.7500  2 Mn 2.13
19 S 0.1401 0.2938 0.1030  2 Mn 2.20
20 S 0.2921 0.6376 0.5793  2 Mn 2.13-2.14
21 S 0.2938 0.1401 0.6030  2 Mn 2.20
22 S 0.3624 0.7079 0.9207  2 Mn 2.13-2.14
23 S 0.4190 0.5810 0.2500  2 Mn 2.13
24 S 0.4211 0.0674 0.2460  2 Mn 2.12-2.13
25 S 0.5789 0.9326 0.7540  2 Mn 2.12-2.13
26 S 0.5810 0.4190 0.7500  2 Mn 2.13
27 S 0.6376 0.2921 0.0793  2 Mn 2.13-2.14
28 S 0.7062 0.8599 0.3970  2 Mn 2.20
29 S 0.7079 0.3624 0.4207  2 Mn 2.13-2.14
30 S 0.8599 0.7062 0.8970  2 Mn 2.20
31 S 0.9312 0.0688 0.2500  2 Mn 2.13
32 S 0.9326 0.5789 0.2540  2 Mn 2.12-2.13

=====

(9)
A plane-wave DFT calculation with PBE was carried out for a relaxed structure of MnTl2S4.

Values from the calculation:
Total magnetic moment in μB/atom: 0.1995
D(E_F) in states/eV/f.u.: 3.10
Energy relative to the elements, uncorrected in eV per formula unit: -0.5
SG: No. 63
Uncorrected energy in eV per atom: -4.419

a b c (Å): 6.9033 6.9033 15.6753
angles (deg): 90.00 90.00 152.90
Closest atoms and distances in Å follow each position.
Sites, in units of the cell vectors:
1 Mn 0.0899 0.9101 0.7500  6 S 2.30-2.35
2 Mn 0.9101 0.0899 0.2500  6 S 2.30-2.35
3 Tl 0.3528 0.6472 0.5850  3 S 2.88-2.98
4 Tl 0.3528 0.6472 0.9150  3 S 2.88-2.98
5 Tl 0.6472 0.3528 0.0850  3 S 2.88-2.98
6 Tl 0.6472 0.3528 0.4150  3 S 2.88-2.98
7 S 0.0000 0.0000 0.0000  4 Tl 2.88
8 S 0.0000 0.0000 0.5000  4 Tl 2.88
9 S 0.3482 0.6518 0.1598  2 Mn 2.30
10 S 0.3482 0.6518 0.3402  2 Mn 2.30
11 S 0.4627 0.5373 0.7500  2 Mn 2.35
12 S 0.5373 0.4627 0.2500  2 Mn 2.35
13 S 0.6518 0.3482 0.6598  2 Mn 2.30
14 S 0.6518 0.3482 0.8402  2 Mn 2.30

=====

(10)
A plane-wave DFT calculation with PBE was carried out for a relaxed structure of MnTlS3.

Values from the calculation:
Total magnetic moment in μB/atom: 0.4281
D(E_F) in states/eV/f.u.: 2.32
Energy relative to the elements, uncorrected in eV per formula unit: -1.5
SG: No. 15
Uncorrected energy in eV per atom: -5.090

a b c (Å): 8.8970 8.8970 5.5734
angles (deg): 91.51 91.51 98.29
Closest atoms and distances in Å follow each position.
Sites, in units of the cell vectors:
1 Mn 0.0651 0.9349 0.7500  6 S 2.27-2.34
2 Mn 0.2022 0.7978 0.2500  6 S 2.21-2.42
3 Mn 0.7978 0.2022 0.7500  6 S 2.21-2.42
4 Mn 0.9349 0.0651 0.2500  6 S 2.27-2.34
5 Tl 0.2681 0.4586 0.5228  5 S 2.95-3.22
6 Tl 0.4586 0.2681 0.0228  5 S 2.95-3.22
7 Tl 0.5414 0.7319 0.9772  5 S 2.95-3.22
8 Tl 0.7319 0.5414 0.4772  5 S 2.95-3.22
9 S 0.0467 0.1761 0.9157  3 Mn 2.31-2.42
10 S 0.0577 0.7026 0.5681  2 Mn 2.27-2.32
11 S 0.1761 0.0467 0.4157  3 Mn 2.31-2.42
12 S 0.1977 0.5796 0.0509  1 Mn 2.21
13 S 0.2974 0.9423 0.9320  2 Mn 2.27-2.32
14 S 0.4204 0.8023 0.4491  1 Mn 2.21
15 S 0.5796 0.1977 0.5509  1 Mn 2.21
16 S 0.7026 0.0577 0.0680  2 Mn 2.27-2.32
17 S 0.8023 0.4204 0.9491  1 Mn 2.21
18 S 0.8239 0.9533 0.5843  3 Mn 2.31-2.42
19 S 0.9423 0.2974 0.4320  2 Mn 2.27-2.32
20 S 0.9533 0.8239 0.0843  3 Mn 2.31-2.42

=====

(11)
A plane-wave DFT calculation with PBE was carried out for a relaxed structure of MnTl5S5.

Values from the calculation:
Total magnetic moment in μB/atom: 0.3112
D(E_F) in states/eV/f.u.: 1.43
Energy relative to the elements, uncorrected in eV per formula unit: -2.9
SG: No. 12
Uncorrected energy in eV per atom: -4.050

a b c (Å): 7.3814 7.3814 7.5376
angles (deg): 105.98 105.98 48.28
Closest atoms and distances in Å follow each position.
Sites, in units of the cell vectors:
1 Mn 0.0000 0.0000 0.0000  4 S 2.30-2.35
2 Tl 0.0000 0.0000 0.5000  2 S 2.57
3 Tl 0.3160 0.3160 0.6861  4 S 2.86-3.13
4 Tl 0.3508 0.3508 0.2122  4 S 2.92-3.12
5 Tl 0.6492 0.6492 0.7878  4 S 2.92-3.12
6 Tl 0.6840 0.6840 0.3139  4 S 2.86-3.13
7 S 0.1198 0.1198 0.2915  1 Mn 2.30, 1 Tl 2.57
8 S 0.1437 0.1437 0.8853  1 Mn 2.35
9 S 0.5000 0.5000 0.0000  4 Tl 2.86-2.92, 2 Mn 3.02
10 S 0.8563 0.8563 0.1147  1 Mn 2.35
11 S 0.8802 0.8802 0.7085  1 Mn 2.30, 1 Tl 2.57

=====

(12)
A plane-wave DFT calculation with PBE was carried out for a relaxed structure of MnTlS2.

Values from the calculation:
Total magnetic moment in μB/atom: 0.0000
D(E_F) in states/eV/f.u.: 2.25
Energy relative to the elements, uncorrected in eV per formula unit: -1.1
SG: No. 62
Uncorrected energy in eV per atom: -5.219

a b c (Å): 6.8421 4.3141 10.8739
angles (deg): 90.00 90.00 90.00
Closest atoms and distances in Å follow each position.
Sites, in units of the cell vectors:
1 Mn 0.0634 0.2500 0.1326  5 S 2.13-2.32
2 Mn 0.4366 0.7500 0.6326  5 S 2.13-2.32
3 Mn 0.5634 0.2500 0.3674  5 S 2.13-2.32
4 Mn 0.9366 0.7500 0.8674  5 S 2.13-2.32
5 Tl 0.1120 0.7500 0.3905  7 S 3.15-3.46, 1 Mn 3.44
6 Tl 0.3880 0.2500 0.8905  7 S 3.15-3.46, 1 Mn 3.44
7 Tl 0.6120 0.7500 0.1095  7 S 3.15-3.46, 1 Mn 3.44
8 Tl 0.8880 0.2500 0.6095  7 S 3.15-3.46, 1 Mn 3.44
9 S 0.0942 0.7500 0.0568  3 Mn 2.32
10 S 0.1640 0.7500 0.7335  2 Mn 2.13-2.16
11 S 0.3360 0.2500 0.2335  2 Mn 2.13-2.16
12 S 0.4058 0.2500 0.5568  3 Mn 2.32
13 S 0.5942 0.7500 0.4432  3 Mn 2.32
14 S 0.6640 0.7500 0.7665  2 Mn 2.13-2.16
15 S 0.8360 0.2500 0.2665  2 Mn 2.13-2.16
16 S 0.9058 0.2500 0.9432  3 Mn 2.32